# VPb2O, optimized geometry, DFT PBE with a Hubbard U
data_VPb2O
_chemical_formula_sum 'V2 Pb4 O2'
_symmetry_space_group_name_H-M 'P 1'
_symmetry_Int_Tables_number 1
_symmetry_space_group_name_Hall 'P 1'
_cell_length_a 7.162
_cell_length_b 7.162
_cell_length_c 6.191
_cell_angle_alpha 54.66
_cell_angle_beta 54.66
_cell_angle_gamma 90.00
loop_
_atom_site_label
_atom_site_type_symbol
_atom_site_fract_x
_atom_site_fract_y
_atom_site_fract_z
_atom_site_occupancy
Pb1 Pb 0.875 0.809 0.750 1
O1 O 0.500 0.500 0.000 1
V1 V 0.750 0.250 0.500 1
O2 O 0.250 0.750 0.500 1
V2 V 0.000 0.000 0.000 1
Pb2 Pb 0.559 0.125 0.250 1
Pb3 Pb 0.191 0.625 0.250 1
Pb4 Pb 0.375 0.441 0.750 1
# - Final energy: -4.663 eV/atom